Lu4Al2O9 after structural relaxation, computed with GGA-PBEsol.

a b c (Å): 7.070 10.134 10.927
angles (deg): 90.00 107.68 90.00
Element x y z (fractional)
Lu 0.085 0.115 0.410
Lu 0.085 0.385 0.910
Lu 0.236 0.620 0.719
Lu 0.236 0.880 0.219
Lu 0.274 0.101 0.801
Lu 0.274 0.399 0.301
Lu 0.407 0.632 0.057
Lu 0.407 0.868 0.557
Lu 0.593 0.132 0.443
Lu 0.593 0.368 0.943
Lu 0.726 0.601 0.699
Lu 0.726 0.899 0.199
Lu 0.764 0.120 0.781
Lu 0.764 0.380 0.281
Lu 0.915 0.615 0.090
Lu 0.915 0.885 0.590
Al 0.086 0.672 0.391
Al 0.086 0.828 0.891
Al 0.448 0.167 0.122
Al 0.448 0.333 0.622
Al 0.552 0.667 0.378
Al 0.552 0.833 0.878
Al 0.914 0.172 0.109
Al 0.914 0.328 0.609
O 0.026 0.512 0.333
O 0.026 0.988 0.833
O 0.037 0.238 0.746
O 0.037 0.262 0.246
O 0.116 0.740 0.544
O 0.116 0.760 0.044
O 0.189 0.007 0.606
O 0.189 0.493 0.106
O 0.313 0.235 0.975
O 0.313 0.265 0.475
O 0.321 0.726 0.387
O 0.321 0.774 0.887
O 0.335 0.000 0.390
O 0.335 0.500 0.890
O 0.431 0.502 0.639
O 0.431 0.998 0.139
O 0.476 0.249 0.768
O 0.476 0.251 0.268
O 0.524 0.749 0.732
O 0.524 0.751 0.232
O 0.569 0.002 0.861
O 0.569 0.498 0.361
O 0.665 0.000 0.610
O 0.665 0.500 0.110
O 0.679 0.226 0.113
O 0.679 0.274 0.613
O 0.687 0.735 0.525
O 0.687 0.765 0.025
O 0.811 0.507 0.894
O 0.811 0.993 0.394
O 0.884 0.240 0.956
O 0.884 0.260 0.456
O 0.963 0.738 0.754
O 0.963 0.762 0.254
O 0.974 0.012 0.167
O 0.974 0.488 0.667

Values from the calculation:
The raw total energy is -8.49 eV per atom. The density of states at the Fermi level is 0.00 states/eV per cell. For the energy relative to the elements, uncorrected, the calculation gives -3.50 eV per atom.

***

LuAlPd after structural relaxation, computed with GGA-PBEsol.

a b c (Å): 6.962 6.962 3.961
angles (deg): 90.00 90.00 120.00
Element x y z (fractional)
Lu 0.000 0.415 0.000
Lu 0.415 0.000 0.000
Lu 0.585 0.585 0.000
Al 0.000 0.758 0.500
Al 0.242 0.242 0.500
Al 0.758 0.000 0.500
Pd 0.000 0.000 0.000
Pd 0.333 0.667 0.500
Pd 0.667 0.333 0.500

Values from the calculation:
The raw total energy is -5.87 eV per atom. The density of states at the Fermi level is 5.98 states/eV per cell.

***

LuAlSi after structural relaxation, computed with GGA-PBEsol.

a b c (Å): 5.342 5.342 5.564
angles (deg): 90.00 90.00 136.63
Element x y z (fractional)
Lu 0.195 0.805 0.750
Lu 0.805 0.195 0.250
Al 0.500 0.500 0.000
Al 0.500 0.500 0.500
Si 0.102 0.898 0.250
Si 0.898 0.102 0.750

Values from the calculation:
The raw total energy is -5.54 eV per atom. The density of states at the Fermi level is 1.76 states/eV per cell. For the energy relative to the elements, uncorrected, the calculation gives -0.64 eV per atom.

***

Lu2AlTc after structural relaxation, computed with GGA-PBEsol.

a b c (Å): 4.801 4.801 4.801
angles (deg): 60.00 60.00 60.00
Element x y z (fractional)
Lu 0.250 0.250 0.250
Lu 0.750 0.750 0.750
Al 0.000 0.000 0.000
Tc 0.500 0.500 0.500

Values from the calculation:
The raw total energy is -6.49 eV per atom. The density of states at the Fermi level is 2.78 states/eV per cell.

***

Lu6Ti4Al43 after structural relaxation, computed with GGA-PBEsol.

a b c (Å): 10.934 10.934 17.587
angles (deg): 90.00 90.00 120.00
Element x y z (fractional)
Lu 0.000 0.471 0.096
Lu 0.000 0.471 0.404
Lu 0.000 0.529 0.596
Lu 0.000 0.529 0.904
Lu 0.471 0.000 0.096
Lu 0.471 0.000 0.404
Lu 0.471 0.471 0.596
Lu 0.471 0.471 0.904
Lu 0.529 0.000 0.596
Lu 0.529 0.000 0.904
Lu 0.529 0.529 0.096
Lu 0.529 0.529 0.404
Ti 0.000 0.000 0.000
Ti 0.000 0.000 0.500
Ti 0.000 0.273 0.250
Ti 0.000 0.727 0.750
Ti 0.273 0.000 0.250
Ti 0.273 0.273 0.750
Ti 0.727 0.000 0.750
Ti 0.727 0.727 0.250
Al 0.000 0.148 0.750
Al 0.000 0.156 0.116
Al 0.000 0.156 0.384
Al 0.000 0.254 0.529
Al 0.000 0.254 0.971
Al 0.000 0.746 0.029
Al 0.000 0.746 0.471
Al 0.000 0.844 0.616
Al 0.000 0.844 0.884
Al 0.000 0.852 0.250
Al 0.148 0.000 0.750
Al 0.148 0.148 0.250
Al 0.149 0.553 0.250
Al 0.149 0.596 0.750
Al 0.156 0.000 0.116
Al 0.156 0.000 0.384
Al 0.156 0.156 0.616
Al 0.156 0.156 0.884
Al 0.159 0.394 0.663
Al 0.159 0.394 0.837
Al 0.159 0.765 0.163
Al 0.159 0.765 0.337
Al 0.235 0.394 0.163
Al 0.235 0.394 0.337
Al 0.235 0.841 0.663
Al 0.235 0.841 0.837
Al 0.247 0.495 0.000
Al 0.247 0.495 0.500
Al 0.247 0.753 0.000
Al 0.247 0.753 0.500
Al 0.254 0.000 0.529
Al 0.254 0.000 0.971
Al 0.254 0.254 0.029
Al 0.254 0.254 0.471
Al 0.333 0.667 0.125
Al 0.333 0.667 0.375
Al 0.333 0.667 0.625
Al 0.333 0.667 0.875
Al 0.394 0.159 0.663
Al 0.394 0.159 0.837
Al 0.394 0.235 0.163
Al 0.394 0.235 0.337
Al 0.404 0.553 0.750
Al 0.404 0.851 0.250
Al 0.447 0.596 0.250
Al 0.447 0.851 0.750
Al 0.495 0.247 0.000
Al 0.495 0.247 0.500
Al 0.505 0.753 0.000
Al 0.505 0.753 0.500
Al 0.553 0.149 0.250
Al 0.553 0.404 0.750
Al 0.596 0.149 0.750
Al 0.596 0.447 0.250
Al 0.606 0.765 0.663
Al 0.606 0.765 0.837
Al 0.606 0.841 0.163
Al 0.606 0.841 0.337
Al 0.667 0.333 0.125
Al 0.667 0.333 0.375
Al 0.667 0.333 0.625
Al 0.667 0.333 0.875
Al 0.746 0.000 0.029
Al 0.746 0.000 0.471
Al 0.746 0.746 0.529
Al 0.746 0.746 0.971
Al 0.753 0.247 0.000
Al 0.753 0.247 0.500
Al 0.753 0.505 0.000
Al 0.753 0.505 0.500
Al 0.765 0.159 0.163
Al 0.765 0.159 0.337
Al 0.765 0.606 0.663
Al 0.765 0.606 0.837
Al 0.841 0.235 0.663
Al 0.841 0.235 0.837
Al 0.841 0.606 0.163
Al 0.841 0.606 0.337
Al 0.844 0.000 0.616
Al 0.844 0.000 0.884
Al 0.844 0.844 0.116
Al 0.844 0.844 0.384
Al 0.851 0.404 0.250
Al 0.851 0.447 0.750
Al 0.852 0.000 0.250
Al 0.852 0.852 0.750

Values from the calculation:
The raw total energy is -4.82 eV per atom. The density of states at the Fermi level is 36.61 states/eV per cell.

***

Lu6Al43W4 after structural relaxation, computed with GGA-PBEsol.

a b c (Å): 10.878 10.878 17.496
angles (deg): 90.00 90.00 120.00
Element x y z (fractional)
Lu 0.000 0.467 0.096
Lu 0.000 0.467 0.404
Lu 0.000 0.533 0.596
Lu 0.000 0.533 0.904
Lu 0.467 0.000 0.096
Lu 0.467 0.000 0.404
Lu 0.467 0.467 0.596
Lu 0.467 0.467 0.904
Lu 0.533 0.000 0.596
Lu 0.533 0.000 0.904
Lu 0.533 0.533 0.096
Lu 0.533 0.533 0.404
Al 0.000 0.149 0.750
Al 0.000 0.160 0.114
Al 0.000 0.160 0.386
Al 0.000 0.255 0.530
Al 0.000 0.255 0.970
Al 0.000 0.745 0.030
Al 0.000 0.745 0.470
Al 0.000 0.840 0.614
Al 0.000 0.840 0.886
Al 0.000 0.851 0.250
Al 0.148 0.552 0.250
Al 0.148 0.596 0.750
Al 0.149 0.000 0.750
Al 0.149 0.149 0.250
Al 0.157 0.395 0.663
Al 0.157 0.395 0.837
Al 0.157 0.762 0.163
Al 0.157 0.762 0.337
Al 0.160 0.000 0.114
Al 0.160 0.000 0.386
Al 0.160 0.160 0.614
Al 0.160 0.160 0.886
Al 0.238 0.395 0.163
Al 0.238 0.395 0.337
Al 0.238 0.843 0.663
Al 0.238 0.843 0.837
Al 0.247 0.494 0.000
Al 0.247 0.494 0.500
Al 0.247 0.753 0.000
Al 0.247 0.753 0.500
Al 0.255 0.000 0.530
Al 0.255 0.000 0.970
Al 0.255 0.255 0.030
Al 0.255 0.255 0.470
Al 0.333 0.667 0.125
Al 0.333 0.667 0.375
Al 0.333 0.667 0.625
Al 0.333 0.667 0.875
Al 0.395 0.157 0.663
Al 0.395 0.157 0.837
Al 0.395 0.238 0.163
Al 0.395 0.238 0.337
Al 0.404 0.552 0.750
Al 0.404 0.852 0.250
Al 0.448 0.596 0.250
Al 0.448 0.852 0.750
Al 0.494 0.247 0.000
Al 0.494 0.247 0.500
Al 0.506 0.753 0.000
Al 0.506 0.753 0.500
Al 0.552 0.148 0.250
Al 0.552 0.404 0.750
Al 0.596 0.148 0.750
Al 0.596 0.448 0.250
Al 0.605 0.762 0.663
Al 0.605 0.762 0.837
Al 0.605 0.843 0.163
Al 0.605 0.843 0.337
Al 0.667 0.333 0.125
Al 0.667 0.333 0.375
Al 0.667 0.333 0.625
Al 0.667 0.333 0.875
Al 0.745 0.000 0.030
Al 0.745 0.000 0.470
Al 0.745 0.745 0.530
Al 0.745 0.745 0.970
Al 0.753 0.247 0.000
Al 0.753 0.247 0.500
Al 0.753 0.506 0.000
Al 0.753 0.506 0.500
Al 0.762 0.157 0.163
Al 0.762 0.157 0.337
Al 0.762 0.605 0.663
Al 0.762 0.605 0.837
Al 0.840 0.000 0.614
Al 0.840 0.000 0.886
Al 0.840 0.840 0.114
Al 0.840 0.840 0.386
Al 0.843 0.238 0.663
Al 0.843 0.238 0.837
Al 0.843 0.605 0.163
Al 0.843 0.605 0.337
Al 0.851 0.000 0.250
Al 0.851 0.851 0.750
Al 0.852 0.404 0.250
Al 0.852 0.448 0.750
W 0.000 0.000 0.000
W 0.000 0.000 0.500
W 0.000 0.272 0.250
W 0.000 0.728 0.750
W 0.272 0.000 0.250
W 0.272 0.272 0.750
W 0.728 0.000 0.750
W 0.728 0.728 0.250

Values from the calculation:
The raw total energy is -5.16 eV per atom. The density of states at the Fermi level is 42.29 states/eV per cell.

***

Mg17Al12 after structural relaxation, computed with GGA-PBEsol.

a b c (Å): 9.062 9.062 9.062
angles (deg): 109.47 109.47 109.47
Element x y z (fractional)
Mg 0.000 0.000 0.000
Mg 0.000 0.000 0.655
Mg 0.000 0.399 0.684
Mg 0.000 0.655 0.000
Mg 0.000 0.684 0.399
Mg 0.285 0.601 0.601
Mg 0.316 0.316 0.715
Mg 0.316 0.715 0.316
Mg 0.345 0.345 0.345
Mg 0.399 0.000 0.684
Mg 0.399 0.684 0.000
Mg 0.601 0.285 0.601
Mg 0.601 0.601 0.285
Mg 0.655 0.000 0.000
Mg 0.684 0.000 0.399
Mg 0.684 0.399 0.000
Mg 0.715 0.316 0.316
Al 0.000 0.186 0.367
Al 0.000 0.367 0.186
Al 0.182 0.814 0.814
Al 0.186 0.000 0.367
Al 0.186 0.367 0.000
Al 0.367 0.000 0.186
Al 0.367 0.186 0.000
Al 0.633 0.633 0.818
Al 0.633 0.818 0.633
Al 0.814 0.182 0.814
Al 0.814 0.814 0.182
Al 0.818 0.633 0.633

Values from the calculation:
The raw total energy is -2.72 eV per atom. The density of states at the Fermi level is 11.28 states/eV per cell.

***

MgAl2 after structural relaxation, computed with GGA-PBEsol.

a b c (Å): 12.762 12.762 12.762
angles (deg): 161.21 161.21 26.70
Element x y z (fractional)
Mg 0.293 0.543 0.750
Mg 0.457 0.707 0.750
Mg 0.543 0.293 0.250
Mg 0.707 0.457 0.250
Al 0.043 0.793 0.250
Al 0.125 0.375 0.750
Al 0.207 0.957 0.250
Al 0.375 0.125 0.250
Al 0.625 0.875 0.750
Al 0.793 0.043 0.750
Al 0.875 0.625 0.250
Al 0.957 0.207 0.750

Values from the calculation:
The raw total energy is -3.28 eV per atom. The density of states at the Fermi level is 4.88 states/eV per cell.

***

MgAl3 after structural relaxation, computed with GGA-PBEsol.

a b c (Å): 5.038 5.038 5.038
angles (deg): 131.67 131.67 70.75
Element x y z (fractional)
Mg 0.000 0.000 0.000
Al 0.250 0.750 0.500
Al 0.500 0.500 0.000
Al 0.750 0.250 0.500

Values from the calculation:
The raw total energy is -3.48 eV per atom. The density of states at the Fermi level is 1.63 states/eV per cell.

***

MgAl2 after structural relaxation, computed with GGA-PBEsol.

a b c (Å): 5.497 5.497 5.095
angles (deg): 90.00 90.00 90.00
Element x y z (fractional)
Mg 0.000 0.000 0.000
Mg 0.500 0.500 0.500
Al 0.164 0.164 0.500
Al 0.336 0.664 0.000
Al 0.664 0.336 0.000
Al 0.836 0.836 0.500

Values from the calculation:
The raw total energy is -2.58 eV per atom. The density of states at the Fermi level is 2.84 states/eV per cell.

***

Mg3Al after structural relaxation, computed with GGA-PBEsol.

a b c (Å): 4.875 4.875 4.875
angles (deg): 60.00 60.00 60.00
Element x y z (fractional)
Mg 0.000 0.000 0.000
Mg 0.250 0.250 0.250
Mg 0.750 0.750 0.750
Al 0.500 0.500 0.500

Values from the calculation:
The raw total energy is -2.27 eV per atom. The density of states at the Fermi level is 1.43 states/eV per cell.

***

MgAl2 after structural relaxation, computed with GGA-PBEsol.

a b c (Å): 2.969 2.969 7.118
angles (deg): 90.00 90.00 120.00
Element x y z (fractional)
Mg 0.000 0.000 0.000
Al 0.333 0.667 0.658
Al 0.667 0.333 0.342

Values from the calculation:
The raw total energy is -3.27 eV per atom. The density of states at the Fermi level is 1.09 states/eV per cell.